CoTc2Os | GGA-PBE | optimized geometry

Calculated values
* E_form: 0.140 eV/atom
* total magnetization: 1.31 μB per cell
* E above lowest polymorph: 0.177 eV/atom

Lattice parameters (Å, degrees): 2.6937 2.6937 26.0704 90.00 90.00 120.00
Space group R-3m (No. 166, hexagonal axes)
Unique sites:
Co 0.0000 0.0000 0.0000 x3
Tc 0.0000 0.0000 0.2534 x6
Os 0.0000 0.0000 0.5000 x3



UCo3B | GGA-PBE | optimized geometry

Calculated values
* E_form: -0.174 eV/atom
* total magnetization: 0.00 μB per cell

Lattice parameters (Å, degrees): 6.628 5.046 8.344 90.00 119.01 90.00
Space group P2_1/c (No. 14)
Unique sites:
U 0.243 0.213 0.142 x4
Co 0.091 0.536 0.810 x4
Co 0.237 0.704 0.131 x4
Co 0.474 0.247 0.506 x4
B 0.223 0.587 0.376 x4



Sc5GaCo2 | GGA-PBE | optimized geometry

Calculated values
* E_form: -0.363 eV/atom
* total magnetization: 0.00 μB per cell

Lattice parameters (Å, degrees): 7.013 7.013 12.311 90.00 90.00 90.00
Space group I4/mcm (No. 140)
Unique sites:
Sc 0.000 0.000 0.000 x4
Sc 0.163 0.337 0.139 x16
Ga 0.000 0.000 0.250 x4
Co 0.131 0.369 0.500 x8



RbAcUS4 | GGA-PBE | optimized geometry

Calculated values
* total magnetization: 8.00 μB per cell
* formation energy (no corrections): -1.626 eV/atom

Lattice parameters (Å, degrees): 8.365 9.084 12.492 90.00 90.00 90.00
Space group Imma (No. 74)
Unique sites:
Rb 0.000 0.250 0.135 x4
Ac 0.000 0.000 0.500 x4
U 0.250 0.250 0.750 x4
S 0.000 0.055 0.738 x8
S 0.226 0.250 0.534 x8